Record 1
# PBE Ba2CdIn2Pd5, optimized geometry
# Total magnetic moment: 0.0 μB per cell
# Formation energy: -414 meV per atom
data_Ba2CdIn2Pd5
_symmetry_space_group_name_H-M 'P 1'
_symmetry_Int_Tables_number 1
_symmetry_space_group_name_Hall 'P 1'
_cell_length_a 11.3144
_cell_length_b 11.3144
_cell_length_c 3.5570
_cell_angle_alpha 90.00
_cell_angle_beta 90.00
_cell_angle_gamma 90.00
loop_
_atom_site_label
_atom_site_type_symbol
_atom_site_fract_x
_atom_site_fract_y
_atom_site_fract_z
_atom_site_occupancy
Ba1 Ba 0.1727 0.3273 0.0000 1
Ba2 Ba 0.3273 0.8273 0.0000 1
Ba3 Ba 0.6727 0.1727 0.0000 1
Ba4 Ba 0.8273 0.6727 0.0000 1
Cd1 Cd 0.0000 0.0000 0.0000 1
Cd2 Cd 0.5000 0.5000 0.0000 1
In1 In 0.1282 0.6282 0.0000 1
In2 In 0.3718 0.1282 0.0000 1
In3 In 0.6282 0.8718 0.0000 1
In4 In 0.8718 0.3718 0.0000 1
Pd1 Pd 0.0000 0.5000 0.5000 1
Pd2 Pd 0.0591 0.8079 0.5000 1
Pd3 Pd 0.1921 0.0591 0.5000 1
Pd4 Pd 0.3079 0.5591 0.5000 1
Pd5 Pd 0.4409 0.3079 0.5000 1
Pd6 Pd 0.5000 0.0000 0.5000 1
Pd7 Pd 0.5591 0.6921 0.5000 1
Pd8 Pd 0.6921 0.4409 0.5000 1
Pd9 Pd 0.8079 0.9409 0.5000 1
Pd10 Pd 0.9409 0.1921 0.5000 1

Record 2
# PBE Pr2ThCd6, optimized geometry
# Total magnetic moment: 0.1 μB per cell
# Formation energy: -296 meV per atom
data_Pr2ThCd6
_symmetry_space_group_name_H-M 'P 1'
_symmetry_Int_Tables_number 1
_symmetry_space_group_name_Hall 'P 1'
_cell_length_a 8.8808
_cell_length_b 8.8808
_cell_length_c 3.4234
_cell_angle_alpha 90.00
_cell_angle_beta 90.00
_cell_angle_gamma 120.00
loop_
_atom_site_label
_atom_site_type_symbol
_atom_site_fract_x
_atom_site_fract_y
_atom_site_fract_z
_atom_site_occupancy
Pr1 Pr 0.3333 0.6667 0.0000 1
Pr2 Pr 0.6667 0.3333 0.0000 1
Th1 Th 0.0000 0.0000 0.0000 1
Cd1 Cd 0.0000 0.3336 0.5000 1
Cd2 Cd 0.0000 0.6664 0.5000 1
Cd3 Cd 0.3336 0.0000 0.5000 1
Cd4 Cd 0.3336 0.3336 0.5000 1
Cd5 Cd 0.6664 0.0000 0.5000 1
Cd6 Cd 0.6664 0.6664 0.5000 1

Record 3
# PBE LaScSCl2, optimized geometry
# E_form (uncorrected): -1.55 eV/atom
# Total magnetic moment: 0.0 μB per cell
data_LaScSCl2
_symmetry_space_group_name_H-M 'P 1'
_symmetry_Int_Tables_number 1
_symmetry_space_group_name_Hall 'P 1'
_cell_length_a 4.8463
_cell_length_b 4.8463
_cell_length_c 5.0266
_cell_angle_alpha 90.00
_cell_angle_beta 90.00
_cell_angle_gamma 90.00
loop_
_atom_site_label
_atom_site_type_symbol
_atom_site_fract_x
_atom_site_fract_y
_atom_site_fract_z
_atom_site_occupancy
La1 La 0.0000 0.0000 0.0000 1
Sc1 Sc 0.5000 0.5000 0.5000 1
S1 S 0.5000 0.5000 0.0000 1
Cl1 Cl 0.0000 0.5000 0.5000 1
Cl2 Cl 0.5000 0.0000 0.5000 1

Record 4
# PBE LiBiF3, optimized geometry
# E_form (uncorrected): -2.38 eV/atom
# Total magnetic moment: 0.0 μB per cell
data_LiBiF3
_symmetry_space_group_name_H-M 'P 1'
_symmetry_Int_Tables_number 1
_symmetry_space_group_name_Hall 'P 1'
_cell_length_a 3.3681
_cell_length_b 4.7540
_cell_length_c 9.4712
_cell_angle_alpha 94.84
_cell_angle_beta 95.90
_cell_angle_gamma 97.42
loop_
_atom_site_label
_atom_site_type_symbol
_atom_site_fract_x
_atom_site_fract_y
_atom_site_fract_z
_atom_site_occupancy
Li1 Li 0.1958 0.2742 0.0347 1
Li2 Li 0.8042 0.7258 0.9653 1
Bi1 Bi 0.0373 0.2708 0.6754 1
Bi2 Bi 0.9627 0.7292 0.3246 1
F1 F 0.0149 0.7744 0.5905 1
F2 F 0.1255 0.9503 0.1360 1
F3 F 0.2528 0.5609 0.8850 1
F4 F 0.7472 0.4391 0.1150 1
F5 F 0.8745 0.0497 0.8640 1
F6 F 0.9851 0.2256 0.4095 1

Record 5
# PBE PmPuGa, optimized geometry
# Total magnetic moment: 6.4 μB per cell
# Formation energy: -204 meV per atom
data_PmPuGa
_symmetry_space_group_name_H-M 'P 1'
_symmetry_Int_Tables_number 1
_symmetry_space_group_name_Hall 'P 1'
_cell_length_a 6.4149
_cell_length_b 6.4149
_cell_length_c 6.4149
_cell_angle_alpha 146.74
_cell_angle_beta 146.74
_cell_angle_gamma 47.75
loop_
_atom_site_label
_atom_site_type_symbol
_atom_site_fract_x
_atom_site_fract_y
_atom_site_fract_z
_atom_site_occupancy
Pm1 Pm 0.0000 0.0000 0.0000 1
Pu1 Pu 0.2919 0.2919 0.0000 1
Ga1 Ga 0.6508 0.6508 0.0000 1

Record 6
# PBE Rb2Tl3Sn2, optimized geometry
# Total magnetic moment: 0.0 μB per cell
# Formation energy: -87 meV per atom
data_Rb2Tl3Sn2
_symmetry_space_group_name_H-M 'P 1'
_symmetry_Int_Tables_number 1
_symmetry_space_group_name_Hall 'P 1'
_cell_length_a 7.2250
_cell_length_b 7.2250
_cell_length_c 8.7973
_cell_angle_alpha 115.31
_cell_angle_beta 115.31
_cell_angle_gamma 39.32
loop_
_atom_site_label
_atom_site_type_symbol
_atom_site_fract_x
_atom_site_fract_y
_atom_site_fract_z
_atom_site_occupancy
Rb1 Rb 0.1417 0.1417 0.2804 1
Rb2 Rb 0.8583 0.8583 0.7196 1
Tl1 Tl 0.3819 0.3819 0.0540 1
Tl2 Tl 0.5000 0.5000 0.5000 1
Tl3 Tl 0.6181 0.6181 0.9460 1
Sn1 Sn 0.1471 0.1471 0.7405 1
Sn2 Sn 0.8529 0.8529 0.2595 1

Record 7
# PBE Mn2SiNi, optimized geometry
# E_form (uncorrected): -0.23 eV/atom
# Total magnetic moment: 1.1 μB per cell
data_Mn2SiNi
_symmetry_space_group_name_H-M 'P 1'
_symmetry_Int_Tables_number 1
_symmetry_space_group_name_Hall 'P 1'
_cell_length_a 4.3849
_cell_length_b 4.3849
_cell_length_c 4.2367
_cell_angle_alpha 102.81
_cell_angle_beta 102.81
_cell_angle_gamma 35.66
loop_
_atom_site_label
_atom_site_type_symbol
_atom_site_fract_x
_atom_site_fract_y
_atom_site_fract_z
_atom_site_occupancy
Mn1 Mn 0.0000 0.0000 0.0000 1
Mn2 Mn 0.2496 0.2496 0.8207 1
Si1 Si 0.4997 0.4997 0.4972 1
Ni1 Ni 0.7601 0.7601 0.3265 1

Record 8
# PBE MgNbCoP2, optimized geometry
# Total magnetic moment: 2.4 μB per cell
# Formation energy: 958 meV per atom
data_MgNbCoP2
_symmetry_space_group_name_H-M 'P 1'
_symmetry_Int_Tables_number 1
_symmetry_space_group_name_Hall 'P 1'
_cell_length_a 4.7486
_cell_length_b 4.7486
_cell_length_c 5.2237
_cell_angle_alpha 90.00
_cell_angle_beta 90.00
_cell_angle_gamma 90.00
loop_
_atom_site_label
_atom_site_type_symbol
_atom_site_fract_x
_atom_site_fract_y
_atom_site_fract_z
_atom_site_occupancy
Mg1 Mg 0.0000 0.0000 0.0000 1
Nb1 Nb 0.0000 0.0000 0.5000 1
Co1 Co 0.5000 0.5000 0.0000 1
P1 P 0.0000 0.5000 0.5000 1
P2 P 0.5000 0.0000 0.5000 1

Record 9
# PBE PmErPdPt, optimized geometry
# Total magnetic moment: 0.0 μB per cell
# Formation energy: -1066 meV per atom
data_PmErPdPt
_symmetry_space_group_name_H-M 'P 1'
_symmetry_Int_Tables_number 1
_symmetry_space_group_name_Hall 'P 1'
_cell_length_a 4.5161
_cell_length_b 5.6659
_cell_length_c 5.6659
_cell_angle_alpha 39.16
_cell_angle_beta 90.00
_cell_angle_gamma 90.00
loop_
_atom_site_label
_atom_site_type_symbol
_atom_site_fract_x
_atom_site_fract_y
_atom_site_fract_z
_atom_site_occupancy
Pm1 Pm 0.0000 0.0000 0.0000 1
Er1 Er 0.5000 0.7255 0.7255 1
Pd1 Pd 0.5000 0.4473 0.4473 1
Pt1 Pt 0.0000 0.2733 0.2733 1

Record 10
# PBE Na3HfBi, optimized geometry
# Total magnetic moment: 2.0 μB per cell
# Formation energy: 878 meV per atom
data_Na3HfBi
_symmetry_space_group_name_H-M 'P 1'
_symmetry_Int_Tables_number 1
_symmetry_space_group_name_Hall 'P 1'
_cell_length_a 5.8596
_cell_length_b 5.8596
_cell_length_c 5.8596
_cell_angle_alpha 90.00
_cell_angle_beta 90.00
_cell_angle_gamma 90.00
loop_
_atom_site_label
_atom_site_type_symbol
_atom_site_fract_x
_atom_site_fract_y
_atom_site_fract_z
_atom_site_occupancy
Na1 Na 0.0000 0.0000 0.5000 1
Na2 Na 0.0000 0.5000 0.0000 1
Na3 Na 0.5000 0.0000 0.0000 1
Hf1 Hf 0.5000 0.5000 0.5000 1
Bi1 Bi 0.0000 0.0000 0.0000 1

Record 11
# PBE MgTlCo3, optimized geometry
# Total magnetic moment: 4.4 μB per cell
# Formation energy: 1483 meV per atom
data_MgTlCo3
_symmetry_space_group_name_H-M 'P 1'
_symmetry_Int_Tables_number 1
_symmetry_space_group_name_Hall 'P 1'
_cell_length_a 4.7883
_cell_length_b 4.7883
_cell_length_c 4.7883
_cell_angle_alpha 90.00
_cell_angle_beta 90.00
_cell_angle_gamma 90.00
loop_
_atom_site_label
_atom_site_type_symbol
_atom_site_fract_x
_atom_site_fract_y
_atom_site_fract_z
_atom_site_occupancy
Mg1 Mg 0.0000 0.0000 0.0000 1
Tl1 Tl 0.5000 0.5000 0.5000 1
Co1 Co 0.0000 0.5000 0.5000 1
Co2 Co 0.5000 0.0000 0.5000 1
Co3 Co 0.5000 0.5000 0.0000 1

Record 12
# PBE Sn4HgPb4, optimized geometry
# Total magnetic moment: 0.0 μB per cell
# Formation energy: 36 meV per atom
data_Sn4HgPb4
_symmetry_space_group_name_H-M 'P 1'
_symmetry_Int_Tables_number 1
_symmetry_space_group_name_Hall 'P 1'
_cell_length_a 7.9021
_cell_length_b 7.9021
_cell_length_c 7.9021
_cell_angle_alpha 94.87
_cell_angle_beta 94.87
_cell_angle_gamma 146.14
loop_
_atom_site_label
_atom_site_type_symbol
_atom_site_fract_x
_atom_site_fract_y
_atom_site_fract_z
_atom_site_occupancy
Sn1 Sn 0.0000 0.3402 0.3402 1
Sn2 Sn 0.0000 0.6598 0.6598 1
Sn3 Sn 0.3402 0.0000 0.3402 1
Sn4 Sn 0.6598 0.0000 0.6598 1
Hg1 Hg 0.0000 0.0000 0.0000 1
Pb1 Pb 0.3353 0.3353 0.6706 1
Pb2 Pb 0.3353 0.6647 0.0000 1
Pb3 Pb 0.6647 0.3353 0.0000 1
Pb4 Pb 0.6647 0.6647 0.3294 1

Which raw total energy belongs to each record? In order, -4.035; -2.793; -5.365; -4.657; -7.574; -2.521; -7.618; -4.960; -6.203; -2.681; -3.573; -3.425 eV per atom.